Compound: Ho8Hg2Sb
Source: the Alexandria database
Functional: PBE
Structure: optimized geometry

Properties
**DOS at the Fermi energy**: 1.259 states/eV per atom
**Final energy**: -3.98 eV per atom

a = 8.638 Å, b = 14.184 Å, c = 5.559 Å
α = 90.00°, β = 109.64°, γ = 90.00°
Space group C2/m (No. 12)
Symmetry-distinct sites (fractional):
Ho1 0.000 0.228 0.000 (multiplicity 4)
Ho2 0.102 0.500 0.799 (multiplicity 4)
Ho3 0.205 0.115 0.614 (multiplicity 8)
Hg1 0.000 0.305 0.500 (multiplicity 4)
Sb1 0.000 0.000 0.000 (multiplicity 2)

Compound: CeHgPbBr6
Source: the Alexandria database
Functional: PBE
Structure: optimized geometry

Properties
**DOS at the Fermi energy**: 0.349 states/eV per atom
**Final energy**: -3.40 eV per atom

a = 7.6704 Å, b = 7.6704 Å, c = 16.2337 Å
α = 90.00°, β = 90.00°, γ = 120.00°
Space group P-31c (No. 163)
Symmetry-distinct sites (fractional):
Ce1 0.3333 0.6667 0.2500 (multiplicity 2)
Hg1 0.0000 0.0000 0.0000 (multiplicity 2)
Pb1 0.3333 0.6667 0.7500 (multiplicity 2)
Br1 0.0229 0.3801 0.1493 (multiplicity 12)

Compound: HoTiPd6
Source: the Alexandria database
Functional: PBE
Structure: optimized geometry

Properties
**ΔE_f**: -0.772 eV/atom
**DOS at the Fermi energy**: 0.642 states/eV per atom

a = 4.022 Å, b = 4.022 Å, c = 8.025 Å
α = 90.00°, β = 90.00°, γ = 90.00°
Space group P4/mmm (No. 123)
Symmetry-distinct sites (fractional):
Ho1 0.000 0.000 0.000 (multiplicity 1)
Ti1 0.000 0.000 0.500 (multiplicity 1)
Pd1 0.000 0.500 0.265 (multiplicity 4)
Pd2 0.500 0.500 0.000 (multiplicity 1)
Pd3 0.500 0.500 0.500 (multiplicity 1)